Entry 1:
# Pm4Sb2O

A relaxed Pm4Sb2O crystal (PBE, Alexandria via LeMat-Bulk).

Cell lengths 4.6734, 4.6734, 17.1308 Å; angles 90.00, 90.00, 90.00 degrees
Space group I4/mmm (No. 139)
Symmetry-distinct sites (fractional):
1 Pm 0.0000 0.0000 0.1748
2 Pm 0.0000 0.5000 0.0000
3 Sb 0.0000 0.0000 0.3611
4 O 0.0000 0.0000 0.0000

Output
Energy relative to the lowest polymorph listed for this composition (eV per atom): 0.000
Uncorrected energy (eV/cell): -84.88
Formation energy from raw total energies (meV per atom): -1462
D(E_F) (states/eV/atom): 0.685
Crystal system: tetragonal

Entry 2:
# SmDy3Y7

A relaxed SmDy3Y7 crystal (PBE, Alexandria via LeMat-Bulk).

Cell lengths 7.0923, 7.0923, 8.6184 Å; angles 90.00, 90.00, 120.00 degrees
Space group P3m1 (No. 156)
Symmetry-distinct sites (fractional):
1 Sm 0.0000 0.0000 0.0000
2 Dy 0.1667 0.3334 0.6650
3 Y 0.0021 0.5011 0.9987
4 Y 0.3309 0.1654 0.3321
5 Y 0.3333 0.6667 0.3311

Output
Energy relative to the lowest polymorph listed for this composition (eV per atom): 0.055
Uncorrected energy (eV/cell): -61.58
D(E_F) (states/eV/atom): 1.665
Crystal system: trigonal
Energy of formation (eV/atom): 0.20

Entry 3:
# Cs3PbAu4

A relaxed Cs3PbAu4 crystal (PBE, Alexandria via LeMat-Bulk).

Cell lengths 7.1400, 9.0507, 9.3562 Å; angles 90.00, 90.00, 90.00 degrees
Space group Imm2 (No. 44)
Symmetry-distinct sites (fractional):
1 Cs 0.0000 0.0000 0.0000
2 Cs 0.0000 0.2688 0.6628
3 Pb 0.0000 0.5000 0.1015
4 Au 0.0000 0.2454 0.2812
5 Au 0.1965 0.0000 0.4057

Output
Uncorrected energy (eV/cell): -42.72
D(E_F) (states/eV/atom): 0.399
Crystal system: orthorhombic
Energy of formation (eV/atom): -0.25

Entry 4:
# Nd2Th

A relaxed Nd2Th crystal (PBE, Alexandria via LeMat-Bulk).

Cell lengths 3.6423, 3.6423, 8.9484 Å; angles 90.00, 90.00, 120.00 degrees
Space group P-3m1 (No. 164)
Symmetry-distinct sites (fractional):
1 Nd 0.3333 0.6667 0.1793
2 Th 0.0000 0.0000 0.5000

Output
Energy relative to the lowest polymorph listed for this composition (eV per atom): 0.014
Uncorrected energy (eV/cell): -16.86
D(E_F) (states/eV/atom): 1.562
Crystal system: trigonal
Energy of formation (eV/atom): 0.03

Entry 5:
# LiYRuPb

A relaxed LiYRuPb crystal (PBE, Alexandria via LeMat-Bulk).

Cell lengths 6.7918, 6.7918, 6.7918 Å; angles 90.00, 90.00, 90.00 degrees
Space group F-43m (No. 216)
Symmetry-distinct sites (fractional):
1 Li 0.0000 0.0000 0.0000
2 Y 0.2500 0.2500 0.2500
3 Ru 0.0000 0.0000 0.5000
4 Pb 0.2500 0.2500 0.7500

Output
Uncorrected energy (eV/cell): -88.78
D(E_F) (states/eV/atom): 1.114
Crystal system: cubic
Energy of formation (eV/atom): -0.21

Entry 6:
# La4SiGeS2

A relaxed La4SiGeS2 crystal (PBE, Alexandria via LeMat-Bulk).

Cell lengths 8.6066, 8.6134, 12.1766 Å; angles 90.00, 90.00, 90.00 degrees
Space group Imma (No. 74)
Symmetry-distinct sites (fractional):
1 La 0.0000 0.0002 0.2492
2 La 0.2485 0.2500 0.0001
3 Si 0.2500 0.2500 0.2500
4 Ge 0.0000 0.0000 0.5000
5 S 0.0000 0.0000 0.0000
6 S 0.2500 0.2500 0.7500

Output
Uncorrected energy (eV/cell): -198.05
Formation energy from raw total energies (meV per atom): -1439
D(E_F) (states/eV/atom): 0.415
Crystal system: orthorhombic

Entry 7:
# KSr2Au

A relaxed KSr2Au crystal (PBE, Alexandria via LeMat-Bulk).

Cell lengths 4.5547, 4.3318, 9.7837 Å; angles 90.00, 103.34, 90.00 degrees
Space group Pm (No. 6)
Symmetry-distinct sites (fractional):
1 K 0.0000 0.0000 0.0000
2 Sr 0.3222 0.5000 0.6483
3 Sr 0.6791 0.0000 0.3594
4 Au 0.1570 0.5000 0.3151

Output
Energy relative to the lowest polymorph listed for this composition (eV per atom): 0.070
Uncorrected energy (eV/cell): -9.01
D(E_F) (states/eV/atom): 0.569
Crystal system: monoclinic
Energy of formation (eV/atom): -0.32

Entry 8:
# ZnPd3I

A relaxed ZnPd3I crystal (PBE, Alexandria via LeMat-Bulk).

Cell lengths 5.0100, 5.0100, 5.0100 Å; angles 90.00, 90.00, 90.00 degrees
Space group Pm-3m (No. 221)
Symmetry-distinct sites (fractional):
1 Zn 0.0000 0.0000 0.0000
2 Pd 0.0000 0.5000 0.5000
3 I 0.5000 0.5000 0.5000

Output
Energy relative to the lowest polymorph listed for this composition (eV per atom): 0.291
Uncorrected energy (eV/cell): -15.25
Formation energy from raw total energies (meV per atom): 631
D(E_F) (states/eV/atom): 1.344
Crystal system: cubic

Entry 9:
# PdAu

A relaxed PdAu crystal (PBE, Alexandria via LeMat-Bulk).

Cell lengths 4.5428, 8.3435, 15.2453 Å; angles 90.00, 90.00, 90.00 degrees
Space group Fddd (No. 70, origin choice 2)
Symmetry-distinct sites (fractional):
1 Pd 0.1250 0.1250 0.0393
2 Au 0.1250 0.2873 0.6250

Output
Uncorrected energy (eV/cell): -132.05
D(E_F) (states/eV/atom): 0.902
Crystal system: orthorhombic
Energy of formation (eV/atom): 0.11

Entry 10:
# SiRu2W

A relaxed SiRu2W crystal (PBE, Alexandria via LeMat-Bulk).

Cell lengths 2.9533, 4.6610, 8.4293 Å; angles 90.00, 90.00, 90.00 degrees
Space group Cmm2 (No. 35)
Symmetry-distinct sites (fractional):
1 Si 0.0000 0.0000 0.0000
2 Ru 0.0000 0.0000 0.4912
3 Ru 0.0000 0.5000 0.2169
4 W 0.0000 0.5000 0.7471

Output
Uncorrected energy (eV/cell): -72.36
Formation energy from raw total energies (meV per atom): 187
D(E_F) (states/eV/atom): 0.913
Crystal system: orthorhombic

Entry 11:
# BeH

A relaxed BeH crystal (PBE, Alexandria via LeMat-Bulk).

Cell lengths 3.5774, 3.5774, 3.5774 Å; angles 90.00, 90.00, 90.00 degrees
Space group Fm-3m (No. 225)
Symmetry-distinct sites (fractional):
1 Be 0.0000 0.0000 0.0000
2 H 0.0000 0.0000 0.5000

Output
Energy relative to the lowest polymorph listed for this composition (eV per atom): 0.485
Uncorrected energy (eV/cell): -23.56
D(E_F) (states/eV/atom): 0.186
Crystal system: cubic

Entry 12:
# AcPr6SmEr2

A relaxed AcPr6SmEr2 crystal (PBE, Alexandria via LeMat-Bulk).

Cell lengths 9.3906, 15.5199, 10.0042 Å; angles 90.00, 98.23, 90.00 degrees
Space group C2/c (No. 15)
Symmetry-distinct sites (fractional):
1 Ac 0.0000 0.1005 0.2500
2 Pr 0.0639 0.3276 0.4430
3 Pr 0.0996 0.1069 0.6230
4 Pr 0.1990 0.2705 0.8255
5 Sm 0.0000 0.4676 0.7500
6 Er 0.2435 0.4523 0.0457

Output
Uncorrected energy (eV/cell): -181.94
D(E_F) (states/eV/atom): 1.474
Crystal system: monoclinic
Energy of formation (eV/atom): 0.11